# 1
A relaxed SiSbTe3 crystal. Source: Alexandria via LeMat-Bulk, functional PBE.

abc: 5.2638 5.2638 5.2638
angles: 90.00 90.00 90.00
Closest atoms and distances in Å follow each position.
Positions (direct):
Si  0.0000  0.0000  0.0000  6 Te 2.63
Sb  0.5000  0.5000  0.5000  12 Te 3.72
Te  0.0000  0.0000  0.5000  2 Si 2.63
Te  0.0000  0.5000  0.0000  2 Si 2.63
Te  0.5000  0.0000  0.0000  2 Si 2.63

## Properties
The space group is Pm-3m, No. 221. Its energy relative to the lowest polymorph listed for this composition is 0.0000 eV per atom. As for the formation energy without anion corrections: 0.45 eV/atom.

# 2
A relaxed Pa3Sb4Os3 crystal. Source: Alexandria via LeMat-Bulk, functional PBE.

abc: 8.3591 8.3591 8.3591
angles: 109.47 109.47 109.47
Closest atoms and distances in Å follow each position.
Positions (direct):
Pa  0.1250  0.7500  0.8750  4 Os 2.96, 4 Sb 3.30
Pa  0.2500  0.6250  0.3750  4 Os 2.96, 4 Sb 3.30
Pa  0.3750  0.2500  0.6250  4 Os 2.96, 4 Sb 3.30
Pa  0.6250  0.3750  0.2500  4 Os 2.96, 4 Sb 3.30
Pa  0.7500  0.8750  0.1250  4 Os 2.96, 4 Sb 3.30
Pa  0.8750  0.1250  0.7500  4 Os 2.96, 4 Sb 3.30
Sb  0.0000  0.3246  0.5000  3 Os 2.72
Sb  0.0000  0.8246  0.5000  3 Os 2.72
Sb  0.1754  0.1754  0.1754  3 Os 2.72
Sb  0.3246  0.5000  0.0000  3 Os 2.72
Sb  0.5000  0.0000  0.3246  3 Os 2.72
Sb  0.5000  0.0000  0.8246  3 Os 2.72
Sb  0.6754  0.6754  0.6754  3 Os 2.72
Sb  0.8246  0.5000  0.0000  3 Os 2.72
Os  0.1250  0.8750  0.2500  4 Sb 2.72, 4 Pa 2.96
Os  0.2500  0.1250  0.8750  4 Sb 2.72, 4 Pa 2.96
Os  0.3750  0.6250  0.7500  4 Sb 2.72, 4 Pa 2.96
Os  0.6250  0.7500  0.3750  4 Sb 2.72, 4 Pa 2.96
Os  0.7500  0.3750  0.6250  4 Sb 2.72, 4 Pa 2.96
Os  0.8750  0.2500  0.1250  4 Sb 2.72, 4 Pa 2.96

## Properties
The space group is I-43d, No. 220. As for the formation energy without anion corrections: -0.41 eV/atom.

# 3
A relaxed ZnFe2C2 crystal. Source: Alexandria via LeMat-Bulk, functional PBE.

abc: 5.9381 5.9381 2.5092
angles: 90.00 90.00 90.00
Closest atoms and distances in Å follow each position.
Positions (direct):
Zn  0.0000  0.0000  0.0000  4 Fe 2.29, 2 Zn 2.51
Zn  0.5000  0.5000  0.0000  4 Fe 2.29, 2 Zn 2.51
Fe  0.1399  0.3601  0.0000  6 C 2.12-2.18, 2 Zn 2.29, 1 Fe 2.35
Fe  0.3601  0.8601  0.0000  6 C 2.12-2.18, 2 Zn 2.29, 1 Fe 2.35
Fe  0.6399  0.1399  0.0000  6 C 2.12-2.18, 2 Zn 2.29, 1 Fe 2.35
Fe  0.8601  0.6399  0.0000  6 C 2.12-2.18, 2 Zn 2.29, 1 Fe 2.35
C  0.1482  0.6482  0.5000  6 Fe 2.12-2.18
C  0.3518  0.1482  0.5000  6 Fe 2.12-2.18
C  0.6482  0.8518  0.5000  6 Fe 2.12-2.18
C  0.8518  0.3518  0.5000  6 Fe 2.12-2.18

## Properties
The space group is P4/mbm, No. 127. Its energy relative to the lowest polymorph listed for this composition is 0.3612 eV per atom. The energy relative to the elements comes out at 0.93 eV per atom.

Total energy list, top to bottom, in eV for the cell shown: -16.7, -165.5, -64.0